# Be2SbPt (PBE, optimized geometry)
data_Be2SbPt
_chemical_formula_sum 'Be8 Sb4 Pt4'
_space_group_name_H-M_alt 'F -4 3 m'
_space_group_IT_number 216
_space_group_name_Hall 'F -4 2 3'
_cell_length_a 6.248
_cell_length_b 6.248
_cell_length_c 6.248
_cell_angle_alpha 90.00
_cell_angle_beta 90.00
_cell_angle_gamma 90.00
loop_
_atom_site_label
_atom_site_type_symbol
_atom_site_fract_x
_atom_site_fract_y
_atom_site_fract_z
_atom_site_occupancy
Be1 Be 0.000 0.000 0.000 1
Be2 Be 0.250 0.250 0.250 1
Sb1 Sb 0.250 0.250 0.750 1
Pt1 Pt 0.000 0.000 0.500 1
# raw formation energy	361	meV/atom
# DFT total energy	-64.7	eV/cell

# MgZr4Se8 (PBE, optimized geometry)
data_MgZr4Se8
_chemical_formula_sum 'Mg2 Zr8 Se16'
_space_group_name_H-M_alt 'C 1 2/m 1'
_space_group_IT_number 12
_cell_length_a 13.040
_cell_length_b 7.540
_cell_length_c 9.237
_cell_angle_alpha 90.00
_cell_angle_beta 134.39
_cell_angle_gamma 90.00
loop_
_space_group_symop_operation_xyz
'x,y,z'
'-x,-y,-z'
'-x,y,-z'
'x,-y,z'
'x+1/2,y+1/2,z'
'-x+1/2,-y+1/2,-z'
'-x+1/2,y+1/2,-z'
'x+1/2,-y+1/2,z'
loop_
_atom_site_label
_atom_site_type_symbol
_atom_site_fract_x
_atom_site_fract_y
_atom_site_fract_z
_atom_site_occupancy
Mg1 Mg 0.000 0.000 0.000 1
Zr1 Zr 0.000 0.259 0.500 1
Zr2 Zr 0.242 0.500 0.490 1
Se1 Se 0.037 0.000 0.742 1
Se2 Se 0.043 0.500 0.753 1
Se3 Se 0.209 0.249 0.248 1
# raw formation energy	-1337	meV/atom
# DFT total energy	-162.1	eV/cell

# CaZnPt3 (PBE, optimized geometry)
data_CaZnPt3
_chemical_formula_sum 'Ca1 Zn1 Pt3'
_space_group_name_H-M_alt 'P m -3 m'
_space_group_IT_number 221
_space_group_name_Hall '-P 4 2 3'
_cell_length_a 4.692
_cell_length_b 4.692
_cell_length_c 4.692
_cell_angle_alpha 90.00
_cell_angle_beta 90.00
_cell_angle_gamma 90.00
loop_
_atom_site_label
_atom_site_type_symbol
_atom_site_fract_x
_atom_site_fract_y
_atom_site_fract_z
_atom_site_occupancy
Ca1 Ca 0.000 0.000 0.000 1
Zn1 Zn 0.500 0.500 0.500 1
Pt1 Pt 0.000 0.500 0.500 1
# DFT total energy	-21.9	eV/cell
# relative energy among the computed polymorphs	0	meV per atom
# formation enthalpy at 0 K	-0.103	eV/atom

# Li2CdBC (PBE, optimized geometry)
data_Li2CdBC
_chemical_formula_sum 'Li2 Cd1 B1 C1'
_space_group_name_H-M_alt 'P 4/m m m'
_space_group_IT_number 123
_space_group_name_Hall '-P 4 2'
_cell_length_a 4.981
_cell_length_b 4.981
_cell_length_c 2.875
_cell_angle_alpha 90.00
_cell_angle_beta 90.00
_cell_angle_gamma 90.00
loop_
_atom_site_label
_atom_site_type_symbol
_atom_site_fract_x
_atom_site_fract_y
_atom_site_fract_z
_atom_site_occupancy
Li1 Li 0.000 0.500 0.000 1
Cd1 Cd 0.000 0.000 0.500 1
B1 B 0.500 0.500 0.000 1
C1 C 0.500 0.500 0.500 1
# DFT total energy	-19.9	eV/cell
# formation enthalpy at 0 K	0.142	eV/atom

Number 1: spin magnetization 0.00 μB per atom, density of states at the Fermi level 11.9 states/eV per cell. Number 2: spin magnetization 0.00 μB per atom, density of states at the Fermi level 10.5 states/eV per cell. Number 3: spin magnetization 0.00 μB per atom, density of states at the Fermi level 0.8 states/eV per cell. Number 4: spin magnetization 0.00 μB per atom, density of states at the Fermi level 1.8 states/eV per cell.